1.
A relaxed structure of HoTmC. Source: Alexandria via LeMat-Bulk, functional PBE-GGA.

The structure in POSCAR format:
```
HoTmC
1.0
3.539 0.000 0.000
-1.769 3.064 0.000
0.000 0.000 6.150
Ho Tm C
1 1 1
Direct
0.000 0.000 0.000
0.333 0.667 0.435
0.667 0.333 0.220
```

**E**: -6.39 eV/atom
**Calculated density**: 8612 kg/m³
**Formation energy from the elements**: -0.298 eV/atom
**Offset from the most stable computed form**: 26 meV per atom
**Space group**: P3m1

2.
A relaxed structure of HoTm3C. Source: Alexandria via LeMat-Bulk, functional PBE-GGA.

The structure in POSCAR format:
```
HoTm3C
1.0
4.967 0.000 0.000
0.000 4.967 0.000
0.000 0.000 4.967
Ho Tm C
1 3 1
Direct
0.000 0.000 0.000
0.000 0.500 0.500
0.500 0.000 0.500
0.500 0.500 0.000
0.500 0.500 0.500
```

**E**: -5.49 eV/atom
**Calculated density**: 9263 kg/m³
**Formation energy from the elements**: -0.042 eV/atom
**Space group**: Pm-3m

3.
A relaxed structure of Ho2TmC2. Source: Alexandria via LeMat-Bulk, functional PBE-GGA.

The structure in POSCAR format:
```
Ho2TmC2
1.0
5.702 -2.530 0.000
5.702 2.530 0.000
-2.477 0.000 6.801
Ho Tm C
4 2 4
Direct
0.007 0.007 0.230
0.337 0.337 0.930
0.663 0.663 0.070
0.993 0.993 0.770
0.345 0.345 0.404
0.655 0.655 0.596
0.169 0.169 0.091
0.497 0.497 0.737
0.503 0.503 0.263
0.831 0.831 0.909
```

**E**: -6.67 eV/atom
**Calculated density**: 8849 kg/m³
**Formation energy from the elements**: -0.252 eV/atom
**Space group**: C2/m

4.
A relaxed structure of Ho3TmC. Source: Alexandria via LeMat-Bulk, functional PBE-GGA.

The structure in POSCAR format:
```
Ho3TmC
1.0
5.015 0.000 0.000
0.000 5.015 0.000
0.000 0.000 5.015
Ho Tm C
3 1 1
Direct
0.000 0.000 0.500
0.000 0.500 0.000
0.500 0.000 0.000
0.500 0.500 0.500
0.000 0.000 0.000
```

**E**: -5.51 eV/atom
**Calculated density**: 8897 kg/m³
**Formation energy from the elements**: -0.028 eV/atom
**Space group**: Pm-3m

Question: What is the formula in the third record?
Answer: Ho2TmC2

Question: The lowest E belongs to which entry?
Answer: Ho2TmC2

Question: Among the records above, which one has the highest calculated density?
Answer: HoTm3C